Entry from Alexandria: BaAg5Se4 after structural relaxation (PBE).

Values from the calculation:
For the uncorrected energy, the calculation gives -0.252 Ry/atom. The magnetic moment comes out at 0.00 μB/cell.

Cell lengths 8.6192, 8.6192, 7.9950 Å; angles 117.52, 117.52, 29.24 degrees
Last column: nearest neighbours and their distance in Å.
Sites, in units of the cell vectors:
Ba1 0.0000 0.0000 0.0000  6 Se 3.20-3.31
Ag1 0.0000 0.0000 0.5000  4 Se 2.73
Ag2 0.3207 0.3207 0.0240  4 Se 2.71-2.80
Ag3 0.3221 0.3221 0.6172  4 Se 2.71-2.81
Ag4 0.6779 0.6779 0.3828  4 Se 2.71-2.81
Ag5 0.6793 0.6793 0.9760  4 Se 2.71-2.80
Se1 0.2258 0.2258 0.2267  6 Ag 2.75-2.81
Se2 0.4992 0.4992 0.2927  4 Ag 2.71-2.73
Se3 0.5008 0.5008 0.7073  4 Ag 2.71-2.73
Se4 0.7742 0.7742 0.7733  6 Ag 2.75-2.81